DFT (PBE) results for SmInPd6 after structural relaxation.

Lattice parameters (Å, degrees): 5.2332 5.2332 5.2332 90.00 90.00 90.00
Last column: nearest neighbours and their distance in Å.
Space group Pm-3 (No. 200)
Symmetry-distinct sites (fractional):
Sm 0.0000 0.0000 0.0000 [1 per cell]  12 Pd 2.93
In 0.5000 0.5000 0.5000 [1 per cell]  12 Pd 2.92
Pd 0.0000 0.2533 0.5000 [6 per cell]  2 Pd 2.58-2.65

Computed properties:
- Final energy: -5.2547 eV/atom

=====

DFT (PBE) results for AlTe2Br after structural relaxation.

Lattice parameters (Å, degrees): 7.4083 7.4083 10.4351 90.00 90.00 90.00
Last column: nearest neighbours and their distance in Å.
Space group I-42d (No. 122)
Symmetry-distinct sites (fractional):
Al 0.0000 0.0000 0.0000 [4 per cell]  4 Te 2.66
Te 0.1880 0.2500 0.1250 [8 per cell]  2 Al 2.66
Br 0.0000 0.0000 0.5000 [4 per cell]  4 Te 3.24

Computed properties:
- Formation energy (no corrections): 0.00 eV per atom

=====

DFT (PBE) results for Ac2La3Pr after structural relaxation.

Lattice parameters (Å, degrees): 7.4029 17.4024 3.7254 90.00 90.00 90.00
Last column: nearest neighbours and their distance in Å.
Space group Pnnm (No. 58)
Symmetry-distinct sites (fractional):
Ac 0.2493 0.1619 0.0000 [4 per cell]  6 La 3.69-3.85, 2 Ac 3.73, 2 Pr 3.85
La 0.0000 0.5000 0.0000 [2 per cell]  6 La 3.70-3.73, 2 Pr 3.70, 4 Ac 3.85
La 0.2486 0.8510 0.0000 [4 per cell]  2 Pr 3.69, 4 Ac 3.69-3.78, 4 La 3.70-3.73
Pr 0.0000 0.0000 0.5000 [2 per cell]  6 La 3.69-3.70, 2 Pr 3.73, 4 Ac 3.85

Computed properties:
- Final energy: -4.5115 eV/atom